No. 1
# Cs2Na2F5

Crystalline Cs2Na2F5 at its relaxed geometry (PBE, Alexandria via LeMat-Bulk).

Lattice parameters (Å, degrees): 3.9856 6.6180 7.5244 98.19 90.00 107.52
Closest atoms and distances in Å follow each position.
Sites, in units of the cell vectors:
Cs 0.6003 0.2007 0.2896  8 F 3.04-3.19
Cs 0.3997 0.7993 0.7104  8 F 3.04-3.19
Na 0.8446 0.6892 0.1122  5 F 2.25-2.37
Na 0.1554 0.3108 0.8878  5 F 2.25-2.37
F 0.7350 0.4700 0.8369  3 Na 2.29-2.31
F 0.2650 0.5300 0.1631  3 Na 2.29-2.31
F 0.9283 0.8567 0.4159  1 F 2.05
F 0.0717 0.1433 0.5841  1 F 2.05
F 0.0000 0.0000 0.0000  2 Na 2.25

Properties
The calculation puts the uncorrected formation energy at -2.38 eV per atom. The magnetization comes out at 1.2 μB per formula unit. As for the energy above the most stable polymorph in this dataset: 0 meV per atom.

=====

No. 2
# Cs4NaF2

Crystalline Cs4NaF2 at its relaxed geometry (PBE, Alexandria via LeMat-Bulk).

Lattice parameters (Å, degrees): 7.0948 7.0948 10.3487 69.95 69.95 90.00
Closest atoms and distances in Å follow each position.
Sites, in units of the cell vectors:
Cs 0.7302 0.7302 0.5397  1 F 2.53
Cs 0.2698 0.2698 0.4603  1 F 2.53
Cs 0.0000 0.5000 0.0000  2 Na 3.55, 4 F 3.91
Cs 0.5000 0.0000 0.0000  2 Na 3.55, 4 F 3.91
Na 0.0000 0.0000 0.0000  4 Cs 3.55
F 0.5906 0.5906 0.8188  1 Cs 2.53
F 0.4094 0.4094 0.1812  1 Cs 2.53

Properties
The calculation puts the uncorrected formation energy at -1.15 eV per atom. The magnetization comes out at 0.0 μB per formula unit.